First-principles (GGA+U) data for a relaxed TiVPO2 crystal, as listed in Alexandria.

extended XYZ file:
```
5
Lattice="-2.422 0.448 2.820 2.260 -1.958 2.252 2.452 4.440 1.401" Properties=species:S:1:pos:R:3 pbc="T T T"
P 1.226 2.220 0.700
Ti 0.000 0.000 0.000
O 1.130 -0.979 1.126
O -1.211 0.224 1.410
V 1.145 1.465 3.236
```

Density of states at the Fermi level: 0.31 states/eV/atom
DFT total energy: -7.369 eV per atom